No. 1
# SbPt2Br

A geometry-optimized SbPt2Br structure (GGA-PBE, Alexandria).

* energy relative to the elements, uncorrected: 106 kJ/mol of formula units
* crystal system: orthorhombic
* E: -4.1951 eV/atom
* space group: No. 71

The structure in POSCAR format:
```
SbPt2Br
1.0
-1.7237 3.2384 4.1072
1.7237 -3.2384 4.1072
1.7237 3.2384 -4.1072
Sb Pt Br
1 2 1
Direct
0.0000 0.0000 0.0000
0.2322 0.7322 0.5000
0.7678 0.2678 0.5000
0.5000 0.5000 0.0000
```



No. 2
# BaNi2W

A geometry-optimized BaNi2W structure (GGA-PBE, Alexandria).

* ΔE_f: 1.2444 eV per atom
* crystal system: tetragonal
* E: -5.3652 eV/atom
* space group: No. 119

The structure in POSCAR format:
```
BaNi2W
1.0
-1.9482 1.9482 4.8741
1.9482 -1.9482 4.8741
1.9482 1.9482 -4.8741
Ba Ni W
1 2 1
Direct
0.0000 0.0000 0.0000
0.2500 0.7500 0.5000
0.5000 0.5000 0.0000
0.7500 0.2500 0.5000
```



No. 3
# Zr4GaN2

A geometry-optimized Zr4GaN2 structure (GGA-PBE, Alexandria).

* energy relative to the elements, uncorrected: -82 kJ/mol of formula units
* crystal system: tetragonal
* E: -7.8173 eV/atom
* space group: No. 139

The structure in POSCAR format:
```
Zr4GaN2
1.0
-2.4751 2.4751 5.4791
2.4751 -2.4751 5.4791
2.4751 2.4751 -5.4791
Zr Ga N
4 1 2
Direct
0.0000 0.5000 0.5000
0.2447 0.2447 0.0000
0.5000 0.0000 0.5000
0.7553 0.7553 0.0000
0.5000 0.5000 0.0000
0.0606 0.0606 0.0000
0.9394 0.9394 0.0000
```



No. 4
# PuPaZn2

A geometry-optimized PuPaZn2 structure (GGA-PBE, Alexandria).

* ΔE_f: -0.0386 eV per atom
* crystal system: tetragonal
* E: -6.6325 eV/atom
* space group: No. 123

The structure in POSCAR format:
```
PuPaZn2
1.0
4.2355 0.0000 0.0000
0.0000 4.2355 0.0000
0.0000 0.0000 4.5515
Pu Pa Zn
1 1 2
Direct
0.0000 0.0000 0.0000
0.5000 0.5000 0.0000
0.0000 0.5000 0.5000
0.5000 0.0000 0.5000
```



How do the records compare in magnetic moment? In the order shown, they have 0.000 1.818 0.000 6.217 Bohr magnetons per cell.
How do the records compare in density? In the order shown, they have 10717 9842 5722 12321 kg/m3.
How do the records compare in energy relative to the lowest polymorph listed for this composition? In the order shown, they have 0.4144 0.9808 1.0889 0.0000 eV/atom.